Density functional theory data (PBE) for an optimized crystal structure of Pr5Y3Th.

a = 7.9937 Å, b = 7.9937 Å, c = 11.4763 Å
α = 110.38°, β = 110.38°, γ = 90.00°
Atoms (fractional coordinates):
Pr (0.0729, 0.5729, 0.7326)
Pr (0.6597, 0.1597, 0.7326)
Pr (0.1597, 0.0729, 0.7326)
Pr (0.5729, 0.6597, 0.7326)
Pr (0.9271, 0.4271, 0.2674)
Pr (0.3403, 0.8403, 0.2674)
Pr (0.8403, 0.9271, 0.2674)
Pr (0.4271, 0.3403, 0.2674)
Pr (0.5000, 0.5000, 0.0000)
Pr (0.0000, 0.0000, 0.0000)
Y (0.6316, 0.1316, 0.0000)
Y (0.3684, 0.8684, 0.0000)
Y (0.8684, 0.6316, 0.0000)
Y (0.1316, 0.3684, 0.0000)
Y (0.2500, 0.2500, 0.5000)
Y (0.7500, 0.7500, 0.5000)
Th (0.7500, 0.2500, 0.5000)
Th (0.2500, 0.7500, 0.5000)

Results
formation enthalpy at 0 K = 316 meV per atom
space group = I4/mcm (140)
total moment = 0.00 Bohr magnetons per cell
calculated density = 6.262 g/cm³

---

Density functional theory data (PBE) for an optimized crystal structure of PrY10Th4.

a = 11.2497 Å, b = 8.8348 Å, c = 8.8348 Å
α = 66.09°, β = 50.46°, γ = 50.46°
Atoms (fractional coordinates):
Pr (0.0000, 0.0000, 0.0000)
Y (0.2500, 0.5000, 0.5000)
Y (0.7095, 0.3475, 0.9037)
Y (0.9430, 0.0963, 0.3475)
Y (0.3868, 0.9037, 0.6525)
Y (0.9607, 0.6525, 0.0963)
Y (0.2905, 0.6525, 0.0963)
Y (0.7500, 0.5000, 0.5000)
Y (0.0393, 0.3475, 0.9037)
Y (0.6132, 0.0963, 0.3475)
Y (0.0570, 0.9037, 0.6525)
Th (0.5481, 0.6518, 0.2520)
Th (0.8001, 0.7480, 0.6518)
Th (0.1999, 0.2520, 0.3482)
Th (0.4519, 0.3482, 0.7480)

Results
formation enthalpy at 0 K = 530 meV per atom
space group = I4/m (87)
total moment = 0.00 Bohr magnetons per cell
calculated density = 6.227 g/cm³

---

Density functional theory data (PBE) for an optimized crystal structure of PrY9Th2.

a = 5.0641 Å, b = 5.0641 Å, c = 15.2425 Å
α = 90.00°, β = 90.00°, γ = 90.00°
Atoms (fractional coordinates):
Pr (0.0000, 0.0000, 0.0000)
Y (0.5000, 0.5000, 0.0000)
Y (0.5000, 0.5000, 0.3344)
Y (0.5000, 0.5000, 0.6656)
Y (0.5000, 0.0000, 0.1710)
Y (0.5000, 0.0000, 0.5000)
Y (0.5000, 0.0000, 0.8290)
Y (0.0000, 0.5000, 0.1710)
Y (0.0000, 0.5000, 0.5000)
Y (0.0000, 0.5000, 0.8290)
Th (0.0000, 0.0000, 0.3344)
Th (0.0000, 0.0000, 0.6656)

Results
formation enthalpy at 0 K = 35 meV per atom
space group = P4/mmm (123)
total moment = 0.00 Bohr magnetons per cell
calculated density = 5.969 g/cm³

---

Density functional theory data (PBE) for an optimized crystal structure of Pr2Y5Th2.

a = 3.5057 Å, b = 8.1949 Å, c = 12.9304 Å
α = 119.04°, β = 97.79°, γ = 90.00°
Atoms (fractional coordinates):
Pr (0.8257, 0.8001, 0.6514)
Pr (0.1743, 0.1999, 0.3486)
Y (0.6921, 0.8380, 0.3842)
Y (0.3079, 0.1620, 0.6158)
Y (0.9101, 0.5471, 0.8203)
Y (0.0899, 0.4529, 0.1797)
Y (0.0000, 0.0000, 0.0000)
Th (0.5517, 0.7498, 0.1034)
Th (0.4483, 0.2502, 0.8966)

Results
formation enthalpy at 0 K = 257 meV per atom
space group = C2/m (12)
total moment = 0.00 Bohr magnetons per cell
calculated density = 6.161 g/cm³

---

Density functional theory data (PBE) for an optimized crystal structure of PrY2Th2.

a = 3.6061 Å, b = 3.6061 Å, c = 14.7904 Å
α = 83.00°, β = 83.00°, γ = 60.00°
Atoms (fractional coordinates):
Pr (0.0000, 0.0000, 0.0000)
Y (0.4018, 0.4018, 0.7945)
Y (0.5982, 0.5982, 0.2055)
Th (0.8012, 0.8012, 0.5963)
Th (0.1988, 0.1988, 0.4037)

Results
formation enthalpy at 0 K = 14 meV per atom
space group = R-3m (166)
total moment = 0.00 Bohr magnetons per cell
E above lowest polymorph = 0.0 kJ/mol of atoms
calculated density = 7.882 g/cm³

---

Density functional theory data (PBE) for an optimized crystal structure of Pr5Y12Th2.

a = 7.2099 Å, b = 14.9617 Å, c = 16.4435 Å
α = 154.18°, β = 90.00°, γ = 103.94°
Atoms (fractional coordinates):
Pr (0.2508, 0.5017, 0.5014)
Pr (0.4999, 0.9998, 0.4041)
Pr (0.0000, 0.0000, 0.5000)
Pr (0.5001, 0.0002, 0.5959)
Pr (0.7492, 0.4983, 0.4986)
Y (0.9595, 0.9191, 0.1086)
Y (0.0179, 0.5596, 0.9508)
Y (0.5417, 0.5596, 0.9508)
Y (0.0446, 0.5983, 0.3875)
Y (0.5539, 0.5984, 0.3875)
Y (0.5405, 0.0810, 0.8870)
Y (0.4595, 0.9190, 0.1130)
Y (0.9554, 0.4017, 0.6125)
Y (0.4461, 0.4016, 0.6125)
Y (0.9821, 0.4404, 0.0492)
Y (0.4583, 0.4404, 0.0492)
Y (0.0405, 0.0809, 0.8914)
Th (0.7501, 0.0000, 0.0000)
Th (0.2499, 0.0000, 0.0000)

Results
formation enthalpy at 0 K = 111 meV per atom
space group = C2/m (12)
total moment = 0.00 Bohr magnetons per cell
calculated density = 5.767 g/cm³

---

Density functional theory data (PBE) for an optimized crystal structure of Pr12Y5Th2.

a = 7.1381 Å, b = 8.8659 Å, c = 11.9360 Å
α = 109.65°, β = 107.40°, γ = 90.00°
Atoms (fractional coordinates):
Pr (0.8643, 0.9578, 0.7286)
Pr (0.4546, 0.7930, 0.4034)
Pr (0.9488, 0.7930, 0.4034)
Pr (0.3612, 0.3875, 0.2125)
Pr (0.8513, 0.3875, 0.2125)
Pr (0.5465, 0.7016, 0.0930)
Pr (0.4535, 0.2984, 0.9070)
Pr (0.6388, 0.6125, 0.7875)
Pr (0.1487, 0.6125, 0.7875)
Pr (0.5454, 0.2070, 0.5966)
Pr (0.0512, 0.2070, 0.5966)
Pr (0.1357, 0.0422, 0.2714)
Y (0.7511, 0.5076, 0.5022)
Y (0.6488, 0.0975, 0.2977)
Y (0.0000, 0.5000, 0.0000)
Y (0.3512, 0.9025, 0.7024)
Y (0.2489, 0.4924, 0.4978)
Th (0.7475, 0.0000, 0.0000)
Th (0.2525, 0.0000, 0.0000)

Results
formation enthalpy at 0 K = 147 meV per atom
space group = C2/m (12)
total moment = 0.00 Bohr magnetons per cell
E above lowest polymorph = 0.0 kJ/mol of atoms
calculated density = 6.399 g/cm³

---

Density functional theory data (PBE) for an optimized crystal structure of PrY2Th6.

a = 9.2852 Å, b = 7.0732 Å, c = 8.3303 Å
α = 115.12°, β = 45.18°, γ = 90.00°
Atoms (fractional coordinates):
Pr (0.0000, 0.0000, 0.0000)
Y (0.2928, 0.2934, 0.5868)
Y (0.7072, 0.7066, 0.4132)
Th (0.7986, 0.1619, 0.8469)
Th (0.6416, 0.3289, 0.6578)
Th (0.7986, 0.6850, 0.8469)
Th (0.2014, 0.8381, 0.1531)
Th (0.3584, 0.6711, 0.3422)
Th (0.2014, 0.3150, 0.1531)

Results
formation enthalpy at 0 K = 287 meV per atom
space group = C2/m (12)
total moment = 0.00 Bohr magnetons per cell
calculated density = 9.138 g/cm³

---

no.,N(E_F) (states/eV per atom)
1,1.49
2,1.54
3,1.61
4,1.54
5,1.30
6,1.34
7,1.53
8,1.34